A plane-wave DFT calculation with GGA-PBE was carried out for an optimized crystal structure of Pr7DyEr3.

```
22
Lattice="3.591 -9.339 0.000 3.591 9.339 0.000 0.000 0.000 11.478" Properties=species:S:1:pos:R:3 pbc="T T T"
Pr 5.412 1.638 2.870
Pr 1.770 1.638 8.609
Pr 1.791 -3.029 5.388
Pr 1.791 -3.029 0.351
Pr 5.391 -3.029 11.127
Pr 5.391 -3.029 6.090
Pr 5.374 0.000 8.609
Pr 1.808 0.000 2.870
Pr 1.791 3.029 0.351
Pr 1.791 3.029 5.388
Pr 5.391 3.029 11.127
Pr 5.391 3.029 6.090
Pr 5.412 -1.638 2.870
Pr 1.770 -1.638 8.609
Dy 3.591 0.000 0.000
Dy 3.591 0.000 5.739
Er 3.587 -4.652 8.609
Er 0.000 0.000 0.000
Er 0.000 0.000 5.739
Er 3.595 -4.652 2.870
Er 3.587 4.652 8.609
Er 3.595 4.652 2.870
```

Formation energy from the elements (eV per formula unit): 1.47
E above lowest polymorph (meV/atom): 0
Calculated volume (Å³/cell): 770

***

A plane-wave DFT calculation with GGA-PBE was carried out for an optimized crystal structure of MgCd4In3.

```
8
Lattice="3.178 0.000 -0.401 -0.272 5.553 -2.155 -0.031 -3.284 12.548" Properties=species:S:1:pos:R:3 pbc="T T T"
Mg 1.589 0.000 -0.200
In -0.136 2.776 -1.078
In 0.245 2.739 1.940
In 2.630 -0.471 8.052
Cd 2.256 -0.226 5.090
Cd 0.618 2.495 4.902
Cd 0.334 -0.109 2.644
Cd 2.541 2.377 7.348
```

Formation energy from the elements (eV per formula unit): 0.27
Calculated volume (Å³/cell): 198